[1]
Below is a relaxed structure of NaZrP, with properties calculated at the PBE-GGA level.

Geometry as POSCAR:
```
NaZrP
1.0
2.134 1.232 10.304
-2.134 1.232 10.304
0.000 -2.464 10.304
Na Zr P
2 2 2
direct
0.115 0.115 0.115
0.885 0.885 0.885
0.301 0.301 0.301
0.699 0.699 0.699
0.391 0.391 0.391
0.609 0.609 0.609
```

Calculated values
magnetic moment = 0.48 μB/f.u.
symmetry = R-3m
E_form = -0.568 eV/atom

[2]
Below is a relaxed structure of MgAlTl2, with properties calculated at the PBE-GGA level.

Geometry as POSCAR:
```
MgAlTl2
1.0
0.000 3.673 3.673
3.673 0.000 3.673
3.673 3.673 0.000
Mg Al Tl
1 1 2
direct
0.000 0.000 0.000
0.500 0.500 0.500
0.250 0.250 0.250
0.750 0.750 0.750
```

Calculated values
magnetic moment = 0.00 μB/f.u.
energy relative to the lowest polymorph listed for this composition = 52.9 meV/atom
symmetry = Fm-3m
E_form = 0.145 eV/atom

[3]
Below is a relaxed structure of Be2CrReN, with properties calculated at the PBE-GGA level.

Geometry as POSCAR:
```
Be2CrReN
1.0
4.202 0.000 0.000
0.000 4.202 0.000
0.000 0.000 4.599
Be Cr Re N
2 1 1 1
direct
0.000 0.500 0.000
0.500 0.000 0.000
0.000 0.000 0.500
0.000 0.000 0.000
0.500 0.500 0.500
```

Calculated values
magnetic moment = 2.65 μB/f.u.
symmetry = P4/mmm
formation energy (no corrections) = 1044 kJ/mol of formula units

[4]
Below is a relaxed structure of AcVBi2, with properties calculated at the PBE-GGA level.

Geometry as POSCAR:
```
AcVBi2
1.0
1.798 1.038 11.514
-1.798 1.038 11.514
0.000 -2.076 11.514
Ac V Bi
1 1 2
direct
0.000 0.000 0.000
0.500 0.500 0.500
0.419 0.419 0.419
0.581 0.581 0.581
```

Calculated values
magnetic moment = 3.73 μB/f.u.
energy relative to the lowest polymorph listed for this composition = 404.2 meV/atom
symmetry = R-3m
E_form = 0.396 eV/atom

[5]
Below is a relaxed structure of MgNbRu2, with properties calculated at the PBE-GGA level.

Geometry as POSCAR:
```
MgNbRu2
1.0
-3.490 3.490 2.875
3.490 -3.490 2.875
3.490 3.490 -2.875
Mg Nb Ru
2 2 4
direct
0.000 0.000 0.000
0.750 0.250 0.500
0.250 0.750 0.500
0.500 0.500 0.000
0.149 0.625 0.024
0.375 0.399 0.524
0.601 0.125 0.976
0.875 0.851 0.476
```

Calculated values
magnetic moment = 0.00 μB/f.u.
symmetry = I-42d
E_form = 0.399 eV/atom

[6]
Below is a relaxed structure of Ba2CdPtI, with properties calculated at the PBE-GGA level.

Geometry as POSCAR:
```
Ba2CdPtI
1.0
6.170 0.000 0.000
0.000 6.170 0.000
0.000 0.000 5.284
Ba Cd Pt I
2 1 1 1
direct
0.000 0.500 0.000
0.500 0.000 0.000
0.000 0.000 0.500
0.000 0.000 0.000
0.500 0.500 0.500
```

Calculated values
magnetic moment = 0.00 μB/f.u.
symmetry = P4/mmm
formation energy (no corrections) = -399 kJ/mol of formula units